Here is a relaxed structure of TlTePdAu from Alexandria. Energies are from PBE.

a = 4.0121 Å, b = 4.0121 Å, c = 12.6322 Å
α = 90.00°, β = 90.00°, γ = 90.00°
Positions (direct):
Tl: 0.2500 0.2500 0.1928
Tl: 0.7500 0.7500 0.8072
Te: 0.2500 0.2500 0.6436
Te: 0.7500 0.7500 0.3564
Pd: 0.2500 0.7500 0.5000
Pd: 0.7500 0.2500 0.5000
Au: 0.2500 0.7500 0.0000
Au: 0.7500 0.2500 0.0000

Output
- Raw total energy: -29.0 eV for the cell shown
- Crystal system: tetragonal
- Energy relative to the elements, uncorrected: -0.132 eV/atom
- Density of states at the Fermi level: 0.903 states/eV/atom
- Density: 10.4 g/cm3